<P>
## AcPrDyZn (PBE)

Data for crystalline AcPrDyZn at its relaxed geometry.

Lattice parameters (Å, degrees): 3.725 3.725 9.039 90.00 90.00 90.00
Space group P4mm (No. 99)
Symmetry-distinct sites (fractional):
1 Ac 0.000 0.000 0.000 (multiplicity 1)
2 Pr 0.500 0.500 0.687 (multiplicity 1)
3 Dy 0.500 0.500 0.297 (multiplicity 1)
4 Zn 0.000 0.000 0.475 (multiplicity 1)

Results
D(E_F) ... 1.50 states/eV per atom
Calculated density ... 7.9 g/cm³

<Q>
## AcPrDyZn (PBE)

Data for crystalline AcPrDyZn at its relaxed geometry.

Lattice parameters (Å, degrees): 7.926 7.926 7.926 90.00 90.00 90.00
Space group F-43m (No. 216)
Symmetry-distinct sites (fractional):
1 Ac 0.000 0.000 0.000 (multiplicity 4)
2 Pr 0.250 0.250 0.250 (multiplicity 4)
3 Dy 0.250 0.250 0.750 (multiplicity 4)
4 Zn 0.000 0.000 0.500 (multiplicity 4)

Results
D(E_F) ... 1.61 states/eV per atom
Calculated density ... 7.9 g/cm³

How far above the most stable structure does each one sit? In meV/atom: <P> 0; <Q> 287.

<P>
## AcDy2Pt (PBE)

Data for crystalline AcDy2Pt at its relaxed geometry.

Lattice parameters (Å, degrees): 4.0773 4.0773 27.7498 90.00 90.00 120.00
Space group R3m (No. 160, hexagonal axes)
Symmetry-distinct sites (fractional):
1 Ac 0.0000 0.0000 0.0000 (multiplicity 3)
2 Dy 0.0000 0.0000 0.5524 (multiplicity 3)
3 Dy 0.0000 0.0000 0.7759 (multiplicity 3)
4 Pt 0.0000 0.0000 0.1637 (multiplicity 3)

Results
D(E_F) ... 1.21 states/eV per atom
Calculated density ... 9.3 g/cm³

<Q>
## AcDy2Pt (PBE)

Data for crystalline AcDy2Pt at its relaxed geometry.

Lattice parameters (Å, degrees): 4.0494 4.0494 28.2989 90.00 90.00 120.00
Space group R-3m (No. 166, hexagonal axes)
Symmetry-distinct sites (fractional):
1 Ac 0.0000 0.0000 0.0000 (multiplicity 3)
2 Dy 0.0000 0.0000 0.2212 (multiplicity 6)
3 Pt 0.0000 0.0000 0.5000 (multiplicity 3)

Results
D(E_F) ... 1.32 states/eV per atom
Calculated density ... 9.3 g/cm³

How far above the most stable structure does each one sit? In meV/atom: <P> 0; <Q> 19.